The following is a PBEsol calculation of an optimized crystal structure of Dy2CrSbO7, from Alexandria.

- E_form (uncorrected): -2.633 eV per atom

abc: 7.151 7.228 10.109
angles: 90.00 90.00 90.00
Space group Imma (No. 74)
Symmetry-distinct sites (fractional):
Dy  0.000  0.000  0.000
Dy  0.250  0.250  0.250
Cr  0.250  0.250  0.750
Sb  0.000  0.000  0.500
O  0.000  0.250  0.127
O  0.000  0.250  0.415
O  0.000  0.250  0.838
O  0.208  0.039  0.627